Entry from Alexandria via LeMat-Bulk: a geometry-optimized MgPbCl2 structure (GGA-PBEsol).

Properties
V	117.3	Å³/f.u.
energy	-3.64	eV/atom
theoretical density	4.3	Mg/m³
energy relative to the elements, uncorrected	-1.206	eV/atom
space group	R-3m, No. 166

The structure in POSCAR format:
```
MgPbCl2
1.0
3.462 0.000 0.000
-1.731 2.998 0.000
0.000 0.000 33.894
Mg Pb Cl
3 3 6
direct
0.000 0.000 0.000 Mg
0.333 0.667 0.667 Mg
0.667 0.333 0.333 Mg
0.000 0.000 0.500 Pb
0.333 0.667 0.167 Pb
0.667 0.333 0.833 Pb
0.000 0.000 0.291 Cl
0.000 0.000 0.709 Cl
0.333 0.667 0.376 Cl
0.333 0.667 0.958 Cl
0.667 0.333 0.042 Cl
0.667 0.333 0.624 Cl
```

=====

Entry from Alexandria via LeMat-Bulk: a geometry-optimized MgPbCl2 structure (GGA-PBEsol).

Properties
V	95.3	Å³/f.u.
energy	-3.00	eV/atom
theoretical density	5.3	Mg/m³
energy relative to the elements, uncorrected	-0.568	eV/atom
space group	Cmmm, No. 65

The structure in POSCAR format:
```
MgPbCl2
1.0
6.432 0.000 0.000
0.000 8.482 0.000
0.000 0.000 3.492
Mg Pb Cl
2 2 4
direct
0.000 0.000 0.000 Mg
0.500 0.500 0.000 Mg
0.000 0.500 0.000 Pb
0.500 0.000 0.000 Pb
0.250 0.250 0.500 Cl
0.250 0.750 0.500 Cl
0.750 0.250 0.500 Cl
0.750 0.750 0.500 Cl
```

=====

Entry from Alexandria via LeMat-Bulk: a geometry-optimized MgSbPbCl2 structure (GGA-PBEsol).

Properties
V	185.3	Å³/f.u.
energy	-3.39	eV/atom
theoretical density	3.8	Mg/m³
energy relative to the elements, uncorrected	-0.533	eV/atom
space group	P4/mmm, No. 123

The structure in POSCAR format:
```
MgSbPbCl2
1.0
4.561 0.000 0.000
0.000 4.561 0.000
0.000 0.000 8.909
Mg Sb Pb Cl
1 1 1 2
direct
0.000 0.000 0.000 Mg
0.500 0.500 0.500 Sb
0.000 0.000 0.500 Pb
0.000 0.500 0.000 Cl
0.500 0.000 0.000 Cl
```

=====

Entry from Alexandria via LeMat-Bulk: a geometry-optimized MgPt2Cl structure (GGA-PBEsol).

Properties
V	63.4	Å³/f.u.
energy	-4.50	eV/atom
theoretical density	11.8	Mg/m³
energy relative to the elements, uncorrected	-0.082	eV/atom
space group	P4/mmm, No. 123

The structure in POSCAR format:
```
MgPt2Cl
1.0
2.870 0.000 0.000
0.000 2.870 0.000
0.000 0.000 7.699
Mg Pt Cl
1 2 1
direct
0.000 0.000 0.000 Mg
0.500 0.500 0.238 Pt
0.500 0.500 0.762 Pt
0.000 0.000 0.500 Cl
```